No. 1
Crystalline Ac2HoMg at its relaxed geometry, computed with PBE.

Properties
relative energy among the computed polymorphs: 0.0000 eV/atom
symmetry: P4/mmm
total energy: -3.59 eV per atom
total moment: 0.00 Bohr magnetons per cell
energy of formation from the pure elements: 4 meV per atom

abc: 4.012 4.012 9.099
angles: 90.00 90.00 90.00
Element x y z (fractional)
Ac (0.000, 0.000, 0.234)
Ac (0.000, 0.000, 0.766)
Ho (0.500, 0.500, 0.500)
Mg (0.500, 0.500, 0.000)

---

No. 2
Crystalline SrMg2In at its relaxed geometry, computed with PBE.

Properties
symmetry: Immm
total energy: -2.01 eV per atom
total moment: 0.00 Bohr magnetons per cell
energy of formation from the pure elements: -105 meV per atom

abc: 6.281 6.281 6.281
angles: 141.74 128.54 65.90
Element x y z (fractional)
Sr (0.000, 0.000, 0.000)
Mg (0.274, 0.774, 0.500)
Mg (0.726, 0.226, 0.500)
In (0.500, 0.500, 0.000)

---

No. 3
Crystalline Li6Mg12Ga at its relaxed geometry, computed with PBE.

Properties
relative energy among the computed polymorphs: 0.0456 eV/atom
symmetry: R-3m
total energy: -1.77 eV per atom
total moment: 0.00 Bohr magnetons per cell
energy of formation from the pure elements: -4 meV per atom

abc: 7.763 7.763 7.763
angles: 73.96 73.96 73.96
Element x y z (fractional)
Li (0.146, 0.146, 0.520)
Li (0.146, 0.520, 0.146)
Li (0.480, 0.854, 0.854)
Li (0.520, 0.146, 0.146)
Li (0.854, 0.480, 0.854)
Li (0.854, 0.854, 0.480)
Mg (0.113, 0.767, 0.767)
Mg (0.192, 0.520, 0.520)
Mg (0.233, 0.233, 0.887)
Mg (0.233, 0.887, 0.233)
Mg (0.480, 0.480, 0.808)
Mg (0.480, 0.808, 0.480)
Mg (0.520, 0.192, 0.520)
Mg (0.520, 0.520, 0.192)
Mg (0.767, 0.113, 0.767)
Mg (0.767, 0.767, 0.113)
Mg (0.808, 0.480, 0.480)
Mg (0.887, 0.233, 0.233)
Ga (0.000, 0.000, 0.000)

---

No. 4
Crystalline Nd4Tm6Zr at its relaxed geometry, computed with PBE.

Properties
symmetry: P4/mnc
total energy: -4.81 eV per atom
total moment: 2.09 Bohr magnetons per cell
energy of formation from the pure elements: 139 meV per atom

abc: 8.606 8.606 9.207
angles: 90.00 90.00 90.00
Element x y z (fractional)
Nd (0.143, 0.357, 0.250)
Nd (0.143, 0.357, 0.750)
Nd (0.357, 0.857, 0.250)
Nd (0.357, 0.857, 0.750)
Nd (0.643, 0.143, 0.250)
Nd (0.643, 0.143, 0.750)
Nd (0.857, 0.643, 0.250)
Nd (0.857, 0.643, 0.750)
Tm (0.000, 0.000, 0.173)
Tm (0.000, 0.000, 0.827)
Tm (0.154, 0.658, 0.500)
Tm (0.158, 0.654, 0.000)
Tm (0.342, 0.154, 0.500)
Tm (0.346, 0.158, 0.000)
Tm (0.500, 0.500, 0.327)
Tm (0.500, 0.500, 0.673)
Tm (0.654, 0.842, 0.000)
Tm (0.658, 0.846, 0.500)
Tm (0.842, 0.346, 0.000)
Tm (0.846, 0.342, 0.500)
Zr (0.000, 0.000, 0.500)
Zr (0.500, 0.500, 0.000)

---

So what do the calculations give for D(E_F)? Going down the list: 5.0, 1.8, 6.6, 16.6 states/eV/f.u..